Density functional theory data (GGA+U) for a relaxed MgCr2O crystal.

a = 6.4601 Å, b = 6.4601 Å, c = 6.4601 Å
α = 123.54°, β = 123.54°, γ = 83.97°
Sites, in units of the cell vectors:
Mg  0.3750  0.6250  0.7500
Mg  0.6250  0.3750  0.2500
Cr  0.0000  0.0000  0.0000
Cr  0.0000  0.0000  0.5000
Cr  0.0000  0.5000  0.0000
Cr  0.5000  0.0000  0.5000
O  0.1250  0.8750  0.2500
O  0.8750  0.1250  0.7500

Output
ΔE to the lowest computed polymorph ... 0 meV/atom
Volume ... 22.418 A^3/atom